Entry from the Alexandria database: crystalline P5Os at its relaxed geometry (PBE).

formation enthalpy at 0 K	0.19	eV/atom
SG	No. 8

a b c (Å): 11.945 3.044 7.283
angles (deg): 90.00 107.82 90.00
Positions (direct):
1 P 0.000 0.000 0.000
2 P 0.039 0.000 0.725
3 P 0.234 0.500 0.426
4 P 0.303 0.500 0.888
5 P 0.347 0.000 0.349
6 P 0.500 0.500 0.000
7 P 0.539 0.500 0.725
8 P 0.734 0.000 0.426
9 P 0.803 0.000 0.888
10 P 0.847 0.500 0.349
11 Os 0.378 0.000 0.694
12 Os 0.878 0.500 0.694

Entry from the Alexandria database: crystalline P3Os at its relaxed geometry (PBE).

formation enthalpy at 0 K	0.25	eV/atom
SG	No. 166

a b c (Å): 6.896 6.896 4.209
angles (deg): 90.00 90.00 120.00
Positions (direct):
1 P 0.000 0.500 0.000
2 P 0.167 0.333 0.333
3 P 0.167 0.833 0.333
4 P 0.333 0.167 0.667
5 P 0.500 0.000 0.000
6 P 0.500 0.500 0.000
7 P 0.667 0.833 0.333
8 P 0.833 0.167 0.667
9 P 0.833 0.667 0.667
10 Os 0.000 0.000 0.000
11 Os 0.333 0.667 0.667
12 Os 0.667 0.333 0.333

Entry from the Alexandria database: crystalline POs3 at its relaxed geometry (PBE).

formation enthalpy at 0 K	0.12	eV/atom
SG	No. 62

a b c (Å): 5.217 7.986 5.350
angles (deg): 90.00 90.00 90.00
Positions (direct):
1 P 0.030 0.250 0.035
2 P 0.470 0.750 0.535
3 P 0.530 0.250 0.465
4 P 0.970 0.750 0.965
5 Os 0.019 0.750 0.530
6 Os 0.180 0.528 0.178
7 Os 0.180 0.972 0.178
8 Os 0.320 0.028 0.678
9 Os 0.320 0.472 0.678
10 Os 0.481 0.250 0.030
11 Os 0.519 0.750 0.970
12 Os 0.680 0.528 0.322
13 Os 0.680 0.972 0.322
14 Os 0.820 0.028 0.822
15 Os 0.820 0.472 0.822
16 Os 0.981 0.250 0.470

Entry from the Alexandria database: crystalline P3Os at its relaxed geometry (PBE).

formation enthalpy at 0 K	0.03	eV/atom
SG	No. 65

a b c (Å): 4.324 8.372 3.863
angles (deg): 90.00 90.00 90.00
Positions (direct):
1 P 0.000 0.000 0.000
2 P 0.000 0.318 0.500
3 P 0.000 0.682 0.500
4 P 0.500 0.182 0.500
5 P 0.500 0.500 0.000
6 P 0.500 0.818 0.500
7 Os 0.000 0.500 0.000
8 Os 0.500 0.000 0.000

Entry from the Alexandria database: crystalline POs3 at its relaxed geometry (PBE).

formation enthalpy at 0 K	0.17	eV/atom
SG	No. 10

a b c (Å): 2.831 3.911 5.193
angles (deg): 90.00 104.72 90.00
Positions (direct):
1 P 0.000 0.000 0.000
2 Os 0.000 0.000 0.500
3 Os 0.361 0.500 0.236
4 Os 0.639 0.500 0.764

Entry from the Alexandria database: crystalline P3Os at its relaxed geometry (PBE).

formation enthalpy at 0 K	0.40	eV/atom
SG	No. 187

a b c (Å): 2.908 2.908 8.464
angles (deg): 90.00 90.00 120.00
Positions (direct):
1 P 0.000 0.000 0.000
2 P 0.667 0.333 0.291
3 P 0.667 0.333 0.709
4 Os 0.000 0.000 0.500

Entry from the Alexandria database: crystalline POs2 at its relaxed geometry (PBE).

formation enthalpy at 0 K	0.44	eV/atom
SG	No. 71

a b c (Å): 2.873 3.986 7.372
angles (deg): 90.00 90.00 90.00
Positions (direct):
1 P 0.000 0.000 0.000
2 P 0.500 0.500 0.500
3 Os 0.000 0.000 0.321
4 Os 0.000 0.000 0.679
5 Os 0.500 0.500 0.179
6 Os 0.500 0.500 0.821

Entry from the Alexandria database: crystalline P5Os at its relaxed geometry (PBE).

formation enthalpy at 0 K	0.63	eV/atom
SG	No. 189

a b c (Å): 4.651 4.651 4.791
angles (deg): 90.00 90.00 120.00
Positions (direct):
1 P 0.000 0.727 0.000
2 P 0.273 0.273 0.000
3 P 0.333 0.667 0.500
4 P 0.667 0.333 0.500
5 P 0.727 0.000 0.000
6 Os 0.000 0.000 0.500

Entry from the Alexandria database: crystalline P4Os3 at its relaxed geometry (PBE).

formation enthalpy at 0 K	0.79	eV/atom
SG	No. 191

a b c (Å): 5.472 5.472 4.003
angles (deg): 90.00 90.00 120.00
Positions (direct):
1 P 0.000 0.000 0.246
2 P 0.000 0.000 0.754
3 P 0.333 0.667 0.500
4 P 0.667 0.333 0.500
5 Os 0.000 0.500 0.000
6 Os 0.500 0.000 0.000
7 Os 0.500 0.500 0.000

Entry from the Alexandria database: crystalline POs4 at its relaxed geometry (PBE).

formation enthalpy at 0 K	1.32	eV/atom
SG	No. 221

a b c (Å): 4.299 4.299 4.299
angles (deg): 90.00 90.00 90.00
Positions (direct):
1 P 0.000 0.000 0.000
2 Os 0.000 0.000 0.500
3 Os 0.000 0.500 0.000
4 Os 0.500 0.000 0.000
5 Os 0.500 0.500 0.500

Entry from the Alexandria database: crystalline POs3 at its relaxed geometry (PBE).

formation enthalpy at 0 K	0.16	eV/atom
SG	No. 187

a b c (Å): 2.859 2.859 7.849
angles (deg): 90.00 90.00 120.00
Positions (direct):
1 P 0.000 0.000 0.000
2 Os 0.000 0.000 0.500
3 Os 0.333 0.667 0.220
4 Os 0.333 0.667 0.780

Entry from the Alexandria database: crystalline P3Os at its relaxed geometry (PBE).

formation enthalpy at 0 K	-0.09	eV/atom
SG	No. 62

a b c (Å): 5.828 7.227 5.660
angles (deg): 90.00 90.00 90.00
Positions (direct):
1 P 0.069 0.250 0.101
2 P 0.194 0.580 0.377
3 P 0.194 0.920 0.377
4 P 0.306 0.080 0.877
5 P 0.306 0.420 0.877
6 P 0.431 0.750 0.601
7 P 0.569 0.250 0.399
8 P 0.694 0.580 0.123
9 P 0.694 0.920 0.123
10 P 0.806 0.080 0.623
11 P 0.806 0.420 0.623
12 P 0.931 0.750 0.899
13 Os 0.183 0.250 0.507
14 Os 0.317 0.750 0.007
15 Os 0.683 0.250 0.993
16 Os 0.817 0.750 0.493

Entry from the Alexandria database: crystalline POs3 at its relaxed geometry (PBE).

formation enthalpy at 0 K	0.47	eV/atom
SG	No. 47

a b c (Å): 2.799 3.724 5.370
angles (deg): 90.00 90.00 90.00
Positions (direct):
1 P 0.000 0.000 0.000
2 Os 0.000 0.000 0.500
3 Os 0.500 0.500 0.246
4 Os 0.500 0.500 0.754

Entry from the Alexandria database: crystalline POs2 at its relaxed geometry (PBE).

formation enthalpy at 0 K	0.47	eV/atom
SG	No. 140

a b c (Å): 5.623 5.623 5.136
angles (deg): 90.00 90.00 90.00
Positions (direct):
1 P 0.000 0.000 0.250
2 P 0.000 0.000 0.750
3 P 0.500 0.500 0.250
4 P 0.500 0.500 0.750
5 Os 0.168 0.332 0.000
6 Os 0.168 0.668 0.500
7 Os 0.332 0.168 0.500
8 Os 0.332 0.832 0.000
9 Os 0.668 0.168 0.000
10 Os 0.668 0.832 0.500
11 Os 0.832 0.332 0.500
12 Os 0.832 0.668 0.000

Entry from the Alexandria database: crystalline P3Os at its relaxed geometry (PBE).

formation enthalpy at 0 K	0.62	eV/atom
SG	No. 65

a b c (Å): 5.462 6.754 2.954
angles (deg): 90.00 90.00 90.00
Positions (direct):
1 P 0.000 0.000 0.000
2 P 0.250 0.250 0.500
3 P 0.250 0.750 0.500
4 P 0.500 0.500 0.000
5 P 0.750 0.250 0.500
6 P 0.750 0.750 0.500
7 Os 0.000 0.500 0.000
8 Os 0.500 0.000 0.000

Entry from the Alexandria database: crystalline P3Os at its relaxed geometry (PBE).

formation enthalpy at 0 K	0.86	eV/atom
SG	No. 221

a b c (Å): 3.828 3.828 3.828
angles (deg): 90.00 90.00 90.00
Positions (direct):
1 P 0.000 0.000 0.500
2 P 0.000 0.500 0.000
3 P 0.500 0.000 0.000
4 Os 0.500 0.500 0.500

Entry from the Alexandria database: crystalline POs3 at its relaxed geometry (PBE).

formation enthalpy at 0 K	0.40	eV/atom
SG	No. 63

a b c (Å): 6.789 8.069 4.288
angles (deg): 90.00 90.00 90.00
Positions (direct):
1 P 0.000 0.130 0.250
2 P 0.000 0.870 0.750
3 P 0.500 0.370 0.750
4 P 0.500 0.630 0.250
5 Os 0.000 0.272 0.750
6 Os 0.000 0.728 0.250
7 Os 0.209 0.423 0.250
8 Os 0.209 0.577 0.750
9 Os 0.291 0.077 0.750
10 Os 0.291 0.923 0.250
11 Os 0.500 0.228 0.250
12 Os 0.500 0.772 0.750
13 Os 0.709 0.077 0.750
14 Os 0.709 0.923 0.250
15 Os 0.791 0.423 0.250
16 Os 0.791 0.577 0.750

Entry from the Alexandria database: crystalline P3Os at its relaxed geometry (PBE).

formation enthalpy at 0 K	0.22	eV/atom
SG	No. 194

a b c (Å): 7.016 7.016 2.856
angles (deg): 90.00 90.00 120.00
Positions (direct):
1 P 0.173 0.346 0.250
2 P 0.173 0.827 0.250
3 P 0.346 0.173 0.750
4 P 0.654 0.827 0.250
5 P 0.827 0.173 0.750
6 P 0.827 0.654 0.750
7 Os 0.333 0.667 0.750
8 Os 0.667 0.333 0.250

Entry from the Alexandria database: crystalline PaP2Os at its relaxed geometry (PBE).

formation enthalpy at 0 K	-0.82	eV/atom
SG	No. 139

a b c (Å): 3.997 3.997 17.838
angles (deg): 90.00 90.00 90.00
Positions (direct):
1 Pa 0.000 0.000 0.113
2 Pa 0.000 0.000 0.887
3 Pa 0.500 0.500 0.387
4 Pa 0.500 0.500 0.613
5 P 0.000 0.000 0.323
6 P 0.000 0.000 0.677
7 P 0.000 0.500 0.000
8 P 0.000 0.500 0.500
9 P 0.500 0.000 0.000
10 P 0.500 0.000 0.500
11 P 0.500 0.500 0.177
12 P 0.500 0.500 0.823
13 Os 0.000 0.500 0.250
14 Os 0.000 0.500 0.750
15 Os 0.500 0.000 0.250
16 Os 0.500 0.000 0.750

Entry from the Alexandria database: crystalline PaP2Os at its relaxed geometry (PBE).

formation enthalpy at 0 K	-0.79	eV/atom
SG	No. 166

a b c (Å): 3.914 3.914 15.539
angles (deg): 90.00 90.00 120.00
Positions (direct):
1 Pa 0.000 0.000 0.000
2 Pa 0.333 0.667 0.667
3 Pa 0.667 0.333 0.333
4 P 0.000 0.000 0.227
5 P 0.000 0.000 0.773
6 P 0.333 0.667 0.439
7 P 0.333 0.667 0.894
8 P 0.667 0.333 0.106
9 P 0.667 0.333 0.561
10 Os 0.000 0.000 0.500
11 Os 0.333 0.667 0.167
12 Os 0.667 0.333 0.833

Entry from the Alexandria database: crystalline PaP12Os4 at its relaxed geometry (PBE).

formation enthalpy at 0 K	-0.57	eV/atom
SG	No. 204

a b c (Å): 7.023 7.023 7.023
angles (deg): 109.47 109.47 109.47
Positions (direct):
1 Pa 0.000 0.000 0.000
2 P 0.142 0.353 0.496
3 P 0.142 0.647 0.789
4 P 0.211 0.858 0.353
5 P 0.353 0.211 0.858
6 P 0.353 0.496 0.142
7 P 0.496 0.142 0.353
8 P 0.504 0.858 0.647
9 P 0.647 0.504 0.858
10 P 0.647 0.789 0.142
11 P 0.789 0.142 0.647
12 P 0.858 0.353 0.211
13 P 0.858 0.647 0.504
14 Os 0.000 0.000 0.500
15 Os 0.000 0.500 0.000
16 Os 0.500 0.000 0.000
17 Os 0.500 0.500 0.500

Entry from the Alexandria database: crystalline PaReP2Os at its relaxed geometry (PBE).

formation enthalpy at 0 K	-0.64	eV/atom
SG	No. 119

a b c (Å): 4.132 4.132 9.527
angles (deg): 90.00 90.00 90.00
Positions (direct):
1 Pa 0.000 0.000 0.000
2 Pa 0.500 0.500 0.500
3 Re 0.000 0.500 0.750
4 Re 0.500 0.000 0.250
5 P 0.000 0.000 0.375
6 P 0.000 0.000 0.625
7 P 0.500 0.500 0.125
8 P 0.500 0.500 0.875
9 Os 0.000 0.500 0.250
10 Os 0.500 0.000 0.750

Entry from the Alexandria database: crystalline PaP2OsRu at its relaxed geometry (PBE).

formation enthalpy at 0 K	-0.79	eV/atom
SG	No. 119

a b c (Å): 4.047 4.047 9.654
angles (deg): 90.00 90.00 90.00
Positions (direct):
1 Pa 0.000 0.000 0.000
2 Pa 0.500 0.500 0.500
3 P 0.000 0.000 0.381
4 P 0.000 0.000 0.619
5 P 0.500 0.500 0.119
6 P 0.500 0.500 0.881
7 Os 0.000 0.500 0.250
8 Os 0.500 0.000 0.750
9 Ru 0.000 0.500 0.750
10 Ru 0.500 0.000 0.250

Entry from the Alexandria database: crystalline PaP2OsRu2 at its relaxed geometry (PBE).

formation enthalpy at 0 K	-0.04	eV/atom
SG	No. 139

a b c (Å): 3.883 3.883 16.452
angles (deg): 90.00 90.00 90.00
Positions (direct):
1 Pa 0.000 0.000 0.000
2 Pa 0.500 0.500 0.500
3 P 0.000 0.000 0.174
4 P 0.000 0.000 0.826
5 P 0.500 0.500 0.326
6 P 0.500 0.500 0.674
7 Os 0.000 0.000 0.500
8 Os 0.500 0.500 0.000
9 Ru 0.000 0.500 0.250
10 Ru 0.000 0.500 0.750
11 Ru 0.500 0.000 0.250
12 Ru 0.500 0.000 0.750

Entry from the Alexandria database: crystalline Pa2P4Os3Ru at its relaxed geometry (PBE).

formation enthalpy at 0 K	-0.81	eV/atom
SG	No. 115

a b c (Å): 4.167 4.167 9.323
angles (deg): 90.00 90.00 90.00
Positions (direct):
1 Pa 0.000 0.500 0.244
2 Pa 0.500 0.000 0.756
3 P 0.000 0.000 0.000
4 P 0.000 0.500 0.632
5 P 0.500 0.000 0.368
6 P 0.500 0.500 0.000
7 Os 0.000 0.500 0.882
8 Os 0.500 0.000 0.118
9 Os 0.500 0.500 0.500
10 Ru 0.000 0.000 0.500

Entry from the Alexandria database: crystalline PaPOsS at its relaxed geometry (PBE).

SG	No. 129
formation energy from raw total energies	-1.04	eV/atom

a b c (Å): 4.119 4.119 8.437
angles (deg): 90.00 90.00 90.00
Positions (direct):
1 Pa 0.250 0.250 0.216
2 Pa 0.750 0.750 0.784
3 P 0.250 0.250 0.648
4 P 0.750 0.750 0.352
5 Os 0.250 0.750 0.500
6 Os 0.750 0.250 0.500
7 S 0.250 0.750 0.000
8 S 0.750 0.250 0.000

These records have E_tot values of -6.1892; -6.6159; -9.6566; -6.8345; -9.6055; -6.4667; -8.8511; -5.7452; -7.1148; -8.7444; -9.6128; -6.9514; -9.3080; -8.8168; -6.2455; -6.0087; -9.3757; -6.6480; -8.7046; -8.6745; -7.5919; -9.4360; -8.9584; -8.3932; -9.1746; -8.6036 eV per atom, in the order they appear.